# NiO2F2

A relaxed NiO2F2 crystal (GGA+U, the Alexandria database).

Fermi-level density of states = 0.143 states/eV/atom
magnetization = 2.639 Bohr magnetons per cell
space group = P4/mmm (123)
total energy = -2.635 eV per atom

Cell lengths 3.4525, 3.4525, 4.5416 Å; angles 90.00, 90.00, 90.00 degrees
With the nearest neighbours (Å) after each atom.
Fractional coordinates of all 5 atoms:
Ni 0.5000 0.5000 0.5000  4 F 2.44
O 0.5000 0.0000 0.0000  2 F 1.73
F 0.0000 0.0000 0.0000  4 O 1.73
O 0.0000 0.5000 0.0000  2 F 1.73
F 0.0000 0.0000 0.5000  2 F 2.27, 4 Ni 2.44